[1]
# CeFe2Cl8

Crystalline CeFe2Cl8 at its relaxed geometry (PBE, the Alexandria database).

The structure in POSCAR format:
```
CeFe2Cl8
1.0
-2.884 -5.908 1.866
6.049 -1.385 -2.863
2.824 3.387 8.574
Ce Fe Cl
1 2 8
Direct
0.000 0.000 0.000
0.012 0.012 0.331
0.988 0.988 0.669
0.263 0.940 0.826
0.060 0.737 0.174
0.218 0.218 0.561
0.782 0.782 0.439
0.940 0.263 0.826
0.737 0.060 0.174
0.278 0.278 0.237
0.722 0.722 0.763
```

Values from the calculation:
Polymorph energy (0 for the lowest one), meV/atom: 9.8

***

[2]
# CeFe2Cl8

Crystalline CeFe2Cl8 at its relaxed geometry (PBE, the Alexandria database).

The structure in POSCAR format:
```
CeFe2Cl8
1.0
6.376 -0.163 -0.139
0.676 7.772 0.863
0.676 2.057 7.544
Ce Fe Cl
1 2 8
Direct
0.000 0.000 0.000
0.359 0.188 0.188
0.641 0.812 0.812
0.756 0.108 0.701
0.244 0.299 0.892
0.720 0.172 0.172
0.280 0.828 0.828
0.756 0.701 0.108
0.244 0.892 0.299
0.235 0.346 0.346
0.765 0.654 0.654
```

Values from the calculation:
Polymorph energy (0 for the lowest one), meV/atom: 0.0

***

[3]
# Ce2FeCl

Crystalline Ce2FeCl at its relaxed geometry (PBE, the Alexandria database).

The structure in POSCAR format:
```
Ce2FeCl
1.0
3.818 0.000 0.000
1.909 3.306 0.000
1.909 1.102 7.532
Ce Fe Cl
2 1 1
Direct
0.065 0.065 0.805
0.267 0.267 0.198
0.669 0.669 0.992
0.498 0.498 0.505
```

Values from the calculation:
Polymorph energy (0 for the lowest one), meV/atom: 21.4

***

[4]
# Ce2FeCl

Crystalline Ce2FeCl at its relaxed geometry (PBE, the Alexandria database).

The structure in POSCAR format:
```
Ce2FeCl
1.0
-2.844 -1.458 2.172
0.434 -3.447 1.690
2.058 1.640 7.233
Fe Ce Cl
1 2 1
Direct
0.000 0.000 0.000
0.267 0.267 0.198
0.733 0.733 0.802
0.500 0.500 0.500
```

Values from the calculation:
Polymorph energy (0 for the lowest one), meV/atom: 0.0

***

[5]
# Ce2GaCl

Crystalline Ce2GaCl at its relaxed geometry (PBE, the Alexandria database).

The structure in POSCAR format:
```
Ce2GaCl
1.0
3.413 0.000 0.000
0.000 3.413 0.000
0.000 0.000 8.004
Ga Ce Cl
1 2 1
Direct
0.500 0.500 0.500
0.000 0.000 0.746
0.000 0.000 0.254
0.500 0.500 0.000
```

Values from the calculation:
Polymorph energy (0 for the lowest one), meV/atom: 32.0

***

[6]
# CeGaCl

Crystalline CeGaCl at its relaxed geometry (PBE, the Alexandria database).

The structure in POSCAR format:
```
CeGaCl
1.0
4.136 0.000 0.829
1.984 3.628 0.831
-0.020 -0.011 10.836
Ce Ga Cl
2 2 2
Direct
0.433 0.432 0.702
0.567 0.568 0.298
0.843 0.843 0.471
0.157 0.157 0.529
0.716 0.715 0.853
0.284 0.285 0.147
```

***

[7]
# Ce2GaCl

Crystalline Ce2GaCl at its relaxed geometry (PBE, the Alexandria database).

The structure in POSCAR format:
```
Ce2GaCl
1.0
-0.020 4.195 0.997
-2.891 1.535 2.807
3.068 0.797 6.036
Ga Ce Cl
1 2 1
Direct
0.500 0.500 0.500
0.253 0.253 0.241
0.747 0.747 0.759
0.000 0.000 0.000
```

Values from the calculation:
Polymorph energy (0 for the lowest one), meV/atom: 0.0

***

[8]
# CeGa2Cl5

Crystalline CeGa2Cl5 at its relaxed geometry (PBE, the Alexandria database).

The structure in POSCAR format:
```
CeGa2Cl5
1.0
8.081 0.000 0.000
0.000 8.687 0.000
0.000 0.000 12.517
Ce Ga Cl
4 8 20
Direct
0.417 0.250 0.504
0.583 0.750 0.496
0.917 0.750 0.996
0.083 0.250 0.004
0.482 0.493 0.825
0.518 0.507 0.175
0.982 0.507 0.675
0.518 0.993 0.175
0.018 0.493 0.325
0.482 0.007 0.825
0.018 0.007 0.325
0.982 0.993 0.675
0.067 0.250 0.503
0.933 0.750 0.497
0.567 0.750 0.997
0.433 0.250 0.003
0.336 0.955 0.583
0.664 0.045 0.417
0.836 0.045 0.917
0.664 0.455 0.417
0.164 0.955 0.083
0.336 0.545 0.583
0.164 0.545 0.083
0.836 0.455 0.917
0.170 0.250 0.787
0.830 0.750 0.213
0.670 0.750 0.713
0.330 0.250 0.287
0.617 0.250 0.687
0.383 0.750 0.313
0.117 0.750 0.813
0.883 0.250 0.187
```

***

[9]
# Ce2GaCl

Crystalline Ce2GaCl at its relaxed geometry (PBE, the Alexandria database).

The structure in POSCAR format:
```
Ce2GaCl
1.0
-1.280 3.233 -0.919
-1.471 0.495 -3.244
-8.888 -0.983 1.886
Ce Ga Cl
2 1 1
Direct
0.083 0.083 0.751
0.250 0.250 0.250
0.667 0.667 0.000
0.500 0.500 0.499
```

Values from the calculation:
Polymorph energy (0 for the lowest one), meV/atom: 52.6

***

[10]
# CeGa6Cl12

Crystalline CeGa6Cl12 at its relaxed geometry (PBE, the Alexandria database).

The structure in POSCAR format:
```
CeGa6Cl12
1.0
8.080 2.918 -0.369
-0.493 8.577 -0.369
1.926 2.918 7.856
Ce Ga Cl
1 6 12
Direct
0.000 0.000 0.000
0.096 0.306 0.437
0.694 0.563 0.904
0.563 0.904 0.694
0.904 0.694 0.563
0.306 0.437 0.096
0.437 0.096 0.306
0.586 0.157 0.477
0.157 0.477 0.586
0.477 0.586 0.157
0.414 0.843 0.523
0.843 0.523 0.414
0.523 0.414 0.843
0.953 0.108 0.686
0.314 0.047 0.892
0.892 0.314 0.047
0.047 0.892 0.314
0.686 0.953 0.108
0.108 0.686 0.953
```

***

[11]
# CeGaCl2

Crystalline CeGaCl2 at its relaxed geometry (PBE, the Alexandria database).

The structure in POSCAR format:
```
CeGaCl2
1.0
3.995 0.000 0.000
1.998 3.460 0.000
1.998 1.153 9.252
Ga Ce Cl
1 1 2
Direct
0.500 0.500 0.500
0.000 0.000 0.000
0.099 0.099 0.703
0.901 0.901 0.297
```

***

[12]
# Ce2GaCl

Crystalline Ce2GaCl at its relaxed geometry (PBE, the Alexandria database).

The structure in POSCAR format:
```
Ce2GaCl
1.0
4.442 0.071 0.000
-0.102 4.441 0.000
-2.170 -2.256 10.376
Ce Ga Cl
4 2 2
Direct
0.341 0.341 0.686
0.655 0.655 0.314
0.967 0.520 0.000
0.520 0.967 0.000
0.111 0.111 0.204
0.907 0.907 0.796
0.250 0.750 0.500
0.750 0.250 0.500
```

Values from the calculation:
Polymorph energy (0 for the lowest one), meV/atom: 34.7

***

[13]
# Ce7GaCl12

Crystalline Ce7GaCl12 at its relaxed geometry (PBE, the Alexandria database).

The structure in POSCAR format:
```
Ce7GaCl12
1.0
8.800 -0.385 -2.814
-3.744 7.972 -2.814
-0.256 -0.385 9.235
Ce Ga Cl
7 1 12
Direct
0.946 0.644 0.858
0.356 0.142 0.054
0.142 0.054 0.356
0.500 0.500 0.500
0.858 0.946 0.644
0.644 0.858 0.946
0.054 0.356 0.142
0.000 0.000 0.000
0.923 0.302 0.788
0.698 0.212 0.077
0.485 0.163 0.392
0.837 0.608 0.515
0.212 0.077 0.698
0.608 0.515 0.837
0.392 0.485 0.163
0.788 0.923 0.302
0.163 0.392 0.485
0.515 0.837 0.608
0.302 0.788 0.923
0.077 0.698 0.212
```

***

[14]
# CeIn2GaCl6

Crystalline CeIn2GaCl6 at its relaxed geometry (PBE, the Alexandria database).

The structure in POSCAR format:
```
CeIn2GaCl6
1.0
-0.963 -5.683 4.746
6.723 -3.504 -2.832
5.809 4.867 7.767
Ce In Ga Cl
2 4 2 12
Direct
0.500 0.000 0.500
0.000 0.500 0.000
0.023 0.928 0.267
0.523 0.572 0.767
0.977 0.072 0.733
0.477 0.428 0.233
0.500 0.000 0.000
0.000 0.500 0.500
0.311 0.674 0.043
0.811 0.826 0.543
0.689 0.326 0.957
0.189 0.174 0.457
0.325 0.717 0.428
0.825 0.783 0.928
0.675 0.283 0.572
0.175 0.217 0.072
0.872 0.551 0.241
0.372 0.949 0.741
0.128 0.449 0.759
0.628 0.051 0.259
```

***

[15]
# KCeGaCl6

Crystalline KCeGaCl6 at its relaxed geometry (PBE, the Alexandria database).

The structure in POSCAR format:
```
KCeGaCl6
1.0
6.873 0.000 0.000
0.000 6.873 0.000
0.000 0.000 13.131
K Ce Ga Cl
2 2 2 12
Direct
0.500 0.500 0.171
0.000 0.000 0.671
0.500 0.500 0.834
0.000 0.000 0.334
0.500 0.500 0.505
0.000 0.000 0.005
0.194 0.806 0.476
0.806 0.194 0.476
0.306 0.306 0.976
0.694 0.694 0.976
0.177 0.823 0.178
0.823 0.177 0.178
0.323 0.323 0.678
0.677 0.677 0.678
0.771 0.229 0.841
0.229 0.771 0.841
0.729 0.729 0.341
0.271 0.271 0.341
```

***

[16]
# CeGa2PbCl8

Crystalline CeGa2PbCl8 at its relaxed geometry (PBE, the Alexandria database).

The structure in POSCAR format:
```
CeGa2PbCl8
1.0
-2.657 4.238 4.725
-4.914 1.352 -4.338
-4.653 -6.525 3.236
Ce Ga Pb Cl
1 2 1 8
Direct
0.000 0.000 0.000
0.500 0.500 0.736
0.500 0.500 0.264
0.000 0.000 0.500
0.160 0.791 0.231
0.700 0.752 0.000
0.840 0.209 0.231
0.840 0.209 0.769
0.300 0.248 0.000
0.160 0.791 0.769
0.676 0.715 0.500
0.324 0.285 0.500
```

***

[17]
# Rb2CeGaCl6

Crystalline Rb2CeGaCl6 at its relaxed geometry (PBE, the Alexandria database).

The structure in POSCAR format:
```
Rb2CeGaCl6
1.0
-1.857 4.278 -6.323
3.191 -5.877 -4.914
-10.102 -5.087 -0.475
Rb Ce Ga Cl
4 2 2 12
Direct
0.500 0.804 0.210
0.000 0.196 0.710
0.500 0.804 0.790
0.000 0.196 0.290
0.500 0.224 0.500
0.000 0.776 0.000
0.000 0.722 0.500
0.500 0.278 0.000
0.500 0.209 0.257
0.500 0.209 0.743
0.000 0.791 0.243
0.000 0.791 0.757
0.255 0.983 0.500
0.745 0.983 0.500
0.234 0.437 0.500
0.766 0.437 0.500
0.734 0.563 0.000
0.266 0.563 0.000
0.245 0.017 0.000
0.755 0.017 0.000
```

***

[18]
# RbCeGa2Cl8

Crystalline RbCeGa2Cl8 at its relaxed geometry (PBE, the Alexandria database).

The structure in POSCAR format:
```
RbCeGa2Cl8
1.0
6.651 0.395 0.417
0.415 6.616 0.482
0.553 0.683 9.193
Rb Ce Ga Cl
1 1 2 8
Direct
0.000 0.000 0.500
0.000 0.000 0.000
0.468 0.457 0.722
0.532 0.543 0.278
0.175 0.749 0.222
0.700 0.760 0.038
0.800 0.222 0.207
0.825 0.251 0.778
0.300 0.240 0.962
0.200 0.778 0.793
0.635 0.685 0.486
0.365 0.315 0.514
```

***

[19]
# RbCeGaCl6

Crystalline RbCeGaCl6 at its relaxed geometry (PBE, the Alexandria database).

The structure in POSCAR format:
```
RbCeGaCl6
1.0
-0.910 3.377 -6.107
-6.382 2.089 2.106
5.317 10.942 5.258
Rb Ce Ga Cl
2 2 2 12
Direct
0.500 0.500 0.173
0.000 0.000 0.673
0.500 0.500 0.834
0.000 0.000 0.334
0.500 0.500 0.510
0.000 0.000 0.010
0.195 0.805 0.469
0.805 0.195 0.469
0.305 0.305 0.969
0.695 0.695 0.969
0.171 0.829 0.177
0.829 0.171 0.177
0.329 0.329 0.677
0.671 0.671 0.677
0.764 0.236 0.845
0.236 0.764 0.845
0.736 0.736 0.345
0.264 0.264 0.345
```

***

[20]
# CeTlGa2Cl6

Crystalline CeTlGa2Cl6 at its relaxed geometry (PBE, the Alexandria database).

The structure in POSCAR format:
```
CeTlGa2Cl6
1.0
-2.381 -0.571 -6.942
-6.832 -3.553 2.636
-4.882 9.680 0.396
Ce Tl Ga Cl
2 2 4 12
Direct
0.500 0.000 0.500
0.000 0.500 0.000
0.500 0.000 0.000
0.000 0.500 0.500
0.018 0.954 0.259
0.518 0.546 0.759
0.982 0.046 0.741
0.482 0.454 0.241
0.319 0.654 0.062
0.819 0.846 0.562
0.681 0.346 0.938
0.181 0.154 0.438
0.364 0.707 0.412
0.864 0.793 0.912
0.636 0.293 0.588
0.136 0.207 0.088
0.834 0.575 0.229
0.334 0.925 0.729
0.166 0.425 0.771
0.666 0.075 0.271
```

***

Uncorrected formation energy across the listed records, respectively: -13.9 -14.0 -2.8 -2.9 -3.4 -3.9 -3.6 -11.7 -3.3 -19.3 -3.3 -3.4 -36.2 -13.5 -15.4 -16.1 -18.1 -17.2 -15.4 -13.7 eV/f.u..